1.
Material: Ca2CuBr
Method: DFT, PBE
State: optimized geometry

The value obtained for the spin magnetization is 0.00 μB per cell. As for the crystal system: trigonal. Its excess energy over the best structure of this formula in the dataset is 0.000 eV per atom. The calculation puts the formation energy without anion corrections at -0.722 eV/atom.

The space group is R-3m (No. 166, hexagonal axes) and the conventional cell measures 4.0636, 4.0636 and 23.4939 Å, with angles of 90.00, 90.00 and 120.00 degrees. Symmetry generates all atoms from Ca at (0.0000, 0.0000, 0.2388), Cu at (0.0000, 0.0000, 0.5000) and Br at (0.0000, 0.0000, 0.0000).

=====

2.
Material: KYSn
Method: DFT, PBE
State: optimized geometry

The value obtained for the spin magnetization is 0.00 μB per cell. As for the crystal system: monoclinic. Its excess energy over the best structure of this formula in the dataset is 0.152 eV per atom. The calculation puts the formation energy at -0.244 eV per atom.

The space group is C2/m (No. 12) and the conventional cell measures 10.8934, 4.7196 and 8.4060 Å, with angles of 90.00, 106.23 and 90.00 degrees. Symmetry generates all atoms from K at (0.1532, 0.0000, 0.0833), Y at (0.1510, 0.0000, 0.5591) and Sn at (0.0185, 0.5000, 0.3212).

=====

3.
Material: ZrAs2H
Method: DFT, PBE
State: optimized geometry

The value obtained for the spin magnetization is 2.99 μB per cell. As for the crystal system: cubic. Its excess energy over the best structure of this formula in the dataset is 0.409 eV per atom.

The space group is Fm-3m (No. 225) and the conventional cell measures 6.5131, 6.5131 and 6.5131 Å, with angles of 90.00, 90.00 and 90.00 degrees. Symmetry generates all atoms from Zr at (0.0000, 0.0000, 0.0000), As at (0.2500, 0.2500, 0.2500) and H at (0.0000, 0.0000, 0.5000).